The following is a DFT calculation (PBE) of an optimized crystal structure of Pr2NdHo3Er6.

Output
Energy, eV/atom: -4.597
V, Å³/atom: 31.8
Crystal system: monoclinic

Cell: 6.174 6.174 11.744 Å, 95.02 95.02 119.96°
Positions (direct):
Er: 0.914 0.581 0.745
Er: 0.086 0.419 0.255
Er: 0.581 0.914 0.745
Er: 0.752 0.752 0.255
Er: 0.419 0.086 0.255
Er: 0.248 0.248 0.745
Pr: 0.333 0.667 0.000
Pr: 0.667 0.333 0.000
Ho: 0.167 0.833 0.500
Ho: 0.500 0.500 0.500
Ho: 0.833 0.167 0.500
Nd: 0.000 0.000 0.000

---

The following is a DFT calculation (PBE) of an optimized crystal structure of Ba2Ir2Pt.

Output
Offset from the most stable computed form, meV per atom: 0
V, Å³/atom: 24.7
Crystal system: tetragonal

Cell: 7.009 7.009 5.028 Å, 90.00 90.00 90.00°
Positions (direct):
Ba: 0.315 0.185 0.500
Ba: 0.815 0.315 0.500
Ba: 0.185 0.685 0.500
Ba: 0.685 0.815 0.500
Ir: 0.125 0.375 0.000
Ir: 0.875 0.625 0.000
Ir: 0.625 0.125 0.000
Ir: 0.375 0.875 0.000
Pt: 0.000 0.000 0.000
Pt: 0.500 0.500 0.000

---

The following is a DFT calculation (PBE) of an optimized crystal structure of Tl2PdI8.

Output
E_form (uncorrected), eV per atom: -0.201
Offset from the most stable computed form, meV per atom: 34
V, Å³/atom: 47.2
Crystal system: monoclinic

Cell: 6.676 10.077 10.077 Å, 76.77 61.07 61.07°
Positions (direct):
I: 0.248 0.826 0.178
I: 0.240 0.507 0.507
I: 0.328 0.780 0.780
I: 0.752 0.174 0.822
I: 0.672 0.220 0.220
I: 0.760 0.493 0.493
I: 0.752 0.822 0.174
I: 0.248 0.178 0.826
Tl: 0.177 0.217 0.217
Tl: 0.823 0.783 0.783
Pd: 0.000 0.000 0.000

---

One value per record, in order, for D(E_F): 15.80, 1.79, 4.38 states/eV/f.u..